[1]
Here is a relaxed HfGa2Pt crystal from the Alexandria database. Energies are from GGA-PBE.

DOS(E_F) in states/eV/cell: 2.98
Energy of formation in eV per formula unit: -1.7
Electronic total energy in eV per atom: -5.9436

Cell: 7.284 7.284 5.853 Å, 51.52 51.52 90.00°
Sites, in units of the cell vectors:
Hf: 0.500 0.500 0.000
Hf: 0.250 0.750 0.500
Ga: 0.656 0.125 0.250
Ga: 0.094 0.625 0.250
Ga: 0.375 0.344 0.750
Ga: 0.875 0.906 0.750
Pt: 0.000 0.000 0.000
Pt: 0.750 0.250 0.500

[2]
Here is a relaxed Hf8Ga2Pt crystal from the Alexandria database. Energies are from GGA-PBE.

DOS(E_F) in states/eV/cell: 10.17
Energy of formation in eV per formula unit: -3.0
Electronic total energy in eV per atom: -8.6108

Cell: 4.467 5.985 9.138 Å, 103.15 104.15 90.00°
Sites, in units of the cell vectors:
Hf: 0.404 0.509 0.809
Hf: 0.653 0.011 0.306
Hf: 0.777 0.667 0.553
Hf: 0.976 0.244 0.952
Hf: 0.223 0.333 0.447
Hf: 0.347 0.989 0.694
Hf: 0.596 0.491 0.191
Hf: 0.024 0.756 0.048
Ga: 0.817 0.234 0.633
Ga: 0.183 0.766 0.367
Pt: 0.500 0.000 0.000

[3]
Here is a relaxed HfGa2Pt crystal from the Alexandria database. Energies are from GGA-PBE.

DOS(E_F) in states/eV/cell: 1.54
Energy of formation in eV per formula unit: -2.6
Electronic total energy in eV per atom: -6.1584

Cell: 4.065 4.069 4.069 Å, 90.00 90.00 90.00°
Sites, in units of the cell vectors:
Hf: 0.500 0.500 0.500
Ga: 0.000 0.000 0.500
Ga: 0.000 0.500 0.000
Pt: 0.500 0.000 0.000